Entry 1:
Crystalline NaLaNbIr at its relaxed geometry, computed with PBE-GGA.

abc: 4.9235 4.9235 4.9235
angles: 60.00 60.00 60.00
Last column: nearest neighbours and their distance in Å.
Fractional positions:
Ir1 0.2500 0.2500 0.2500  4 La 3.02, 4 Nb 3.02
La1 0.5000 0.5000 0.5000  4 Na 3.02, 4 Ir 3.02
Nb1 0.0000 0.0000 0.0000  4 Na 3.02, 4 Ir 3.02
Na1 0.7500 0.7500 0.7500  4 Nb 3.02, 4 La 3.02

## Properties
* calculated volume: 84 Å³/f.u.
* E: -23.9 eV per formula unit
* energy above the most stable polymorph in this dataset: 0 meV per atom

Entry 2:
Crystalline Gd5Co2B6 at its relaxed geometry, computed with PBE-GGA.

abc: 8.4492 8.4492 8.4492
angles: 37.36 37.36 37.36
Last column: nearest neighbours and their distance in Å.
Fractional positions:
Gd1 0.5840 0.5840 0.5840  6 B 2.67
Gd2 0.2517 0.2517 0.2517  6 B 2.70
Gd3 0.7483 0.7483 0.7483  6 B 2.70
Gd4 0.4160 0.4160 0.4160  6 B 2.67
Gd5 0.0000 0.0000 0.0000  2 Co 2.84
B1 0.5000 0.8321 0.1679  3 B 1.80-1.82
B2 0.1679 0.5000 0.8321  3 B 1.80-1.82
B3 0.5000 0.1679 0.8321  3 B 1.80-1.82
B4 0.8321 0.1679 0.5000  3 B 1.80-1.82
B5 0.8321 0.5000 0.1679  3 B 1.80-1.82
B6 0.1679 0.8321 0.5000  3 B 1.80-1.82
Co1 0.8793 0.8793 0.8793  6 B 2.11
Co2 0.1207 0.1207 0.1207  6 B 2.11

## Properties
* calculated volume: 199 Å³/f.u.
* E: -84.2 eV per formula unit

Entry 3:
Crystalline Tm4GaSnC2 at its relaxed geometry, computed with PBE-GGA.

abc: 3.5364 3.5364 15.4991
angles: 90.00 90.00 120.00
Last column: nearest neighbours and their distance in Å.
Fractional positions:
Sn1 0.3333 0.6667 0.5000  6 Tm 3.33, 6 Sn 3.54
Tm1 0.3333 0.6667 0.8404  3 C 2.46
Tm2 0.0000 0.0000 0.3303  3 C 2.41
Tm3 0.3333 0.6667 0.1596  3 C 2.46
Tm4 0.0000 0.0000 0.6697  3 C 2.41
C1 0.6667 0.3333 0.7523  6 Tm 2.41-2.46
C2 0.6667 0.3333 0.2477  6 Tm 2.41-2.46
Ga1 0.0000 0.0000 0.0000  6 Tm 3.21, 6 Ga 3.54

## Properties
* calculated volume: 168 Å³/f.u.
* E: -47.4 eV per formula unit

Entry 4:
Crystalline Rb2Pm4Cu4Te9 at its relaxed geometry, computed with PBE-GGA.

abc: 8.0885 8.0885 17.8961
angles: 107.53 107.53 31.89
Last column: nearest neighbours and their distance in Å.
Fractional positions:
Te1 0.3702 0.3702 0.5790  2 Cu 2.67
Te2 0.6298 0.6298 0.4210  2 Cu 2.67
Te3 0.1012 0.1012 0.6310  3 Cu 2.64-2.89
Te4 0.1965 0.1965 0.8924  1 Cu 2.70
Te5 0.8035 0.8035 0.1076  1 Cu 2.70
Te6 0.1486 0.1486 0.2263  2 Cu 2.64
Te7 0.8514 0.8514 0.7737  2 Cu 2.64
Te8 0.8988 0.8988 0.3690  3 Cu 2.64-2.89
Te9 0.5000 0.5000 0.0000  4 Pm 3.21
Pm1 0.2715 0.2715 0.3998  6 Te 3.09-3.23, 2 Cu 3.44
Pm2 0.7285 0.7285 0.6002  6 Te 3.09-3.23, 2 Cu 3.44
Pm3 0.8441 0.8441 0.9434  6 Te 3.07-3.21
Pm4 0.1559 0.1559 0.0566  6 Te 3.07-3.21
Cu1 0.2575 0.2575 0.7667  4 Te 2.64-2.85
Cu2 0.0800 0.0800 0.4790  4 Te 2.64-2.89, 1 Cu 2.81
Cu3 0.7425 0.7425 0.2333  4 Te 2.64-2.85
Cu4 0.9200 0.9200 0.5210  4 Te 2.64-2.89, 1 Cu 2.81
Rb1 0.5321 0.5321 0.7727  7 Te 3.55-3.77
Rb2 0.4679 0.4679 0.2273  7 Te 3.55-3.77

## Properties
* calculated volume: 587 Å³/f.u.
* E: -82.8 eV per formula unit

Entry 5:
Crystalline Tb2YZn4Si4 at its relaxed geometry, computed with PBE-GGA.

abc: 12.6454 12.6454 12.6454
angles: 161.68 161.32 26.28
Last column: nearest neighbours and their distance in Å.
Fractional positions:
Si1 0.4526 0.4526 0.0000  1 Si 2.33, 2 Zn 2.35
Si2 0.1894 0.6894 0.5000  5 Zn 2.35-2.53
Si3 0.5474 0.5474 0.0000  1 Si 2.33, 2 Zn 2.35
Si4 0.8106 0.3106 0.5000  5 Zn 2.35-2.53
Zn1 0.0940 0.5940 0.5000  3 Si 2.35
Zn2 0.2504 0.2504 0.0000  4 Si 2.51-2.53
Zn3 0.9060 0.4060 0.5000  3 Si 2.35
Zn4 0.7496 0.7496 0.0000  4 Si 2.51-2.53
Tb1 0.6434 0.1434 0.5000  6 Si 3.09-3.11, 8 Zn 3.12-3.34
Tb2 0.3566 0.8566 0.5000  6 Si 3.09-3.11, 8 Zn 3.12-3.34
Y1 0.0000 0.0000 0.0000  4 Zn 3.07, 8 Si 3.10

## Properties
* calculated volume: 203 Å³/f.u.
* E: -48.5 eV per formula unit

Entry 6:
Crystalline ErTm2Cd4 at its relaxed geometry, computed with PBE-GGA.

abc: 6.2989 6.2989 4.6323
angles: 90.00 90.00 90.00
Last column: nearest neighbours and their distance in Å.
Fractional positions:
Cd1 0.7423 0.7423 0.5000  4 Cd 3.05-3.25, 4 Tm 3.21, 2 Er 3.26
Cd2 0.2577 0.2577 0.5000  4 Cd 3.05-3.25, 4 Tm 3.21, 2 Er 3.26
Cd3 0.2577 0.7423 0.5000  4 Cd 3.05-3.25, 4 Tm 3.21, 2 Er 3.26
Cd4 0.7423 0.2577 0.5000  4 Cd 3.05-3.25, 4 Tm 3.21, 2 Er 3.26
Er1 0.0000 0.0000 0.0000  4 Tm 3.15, 8 Cd 3.26
Tm1 0.0000 0.5000 0.0000  2 Er 3.15, 8 Cd 3.21
Tm2 0.5000 0.0000 0.0000  2 Er 3.15, 8 Cd 3.21

## Properties
* calculated volume: 184 Å³/f.u.
* ΔH_f (0 K): -0.06 eV/atom
* E: -17.5 eV per formula unit

Entry 7:
Crystalline HoErPd at its relaxed geometry, computed with PBE-GGA.

abc: 7.0249 4.8373 8.6820
angles: 90.00 90.00 90.00
Last column: nearest neighbours and their distance in Å.
Fractional positions:
Ho1 0.5162 0.7500 0.6719  3 Pd 2.80-3.09
Ho2 0.9838 0.2500 0.1719  3 Pd 2.80-3.09
Ho3 0.4838 0.2500 0.3281  3 Pd 2.80-3.09
Ho4 0.0162 0.7500 0.8281  3 Pd 2.80-3.09
Pd1 0.7406 0.7500 0.4051  3 Ho 2.80-3.09, 4 Er 2.84-2.97
Pd2 0.2406 0.7500 0.0949  3 Ho 2.80-3.09, 4 Er 2.84-2.97
Pd3 0.7594 0.2500 0.9051  3 Ho 2.80-3.09, 4 Er 2.84-2.97
Pd4 0.2594 0.2500 0.5949  3 Ho 2.80-3.09, 4 Er 2.84-2.97
Er1 0.8552 0.2500 0.5799  4 Pd 2.84-2.97
Er2 0.6448 0.7500 0.0799  4 Pd 2.84-2.97
Er3 0.3552 0.2500 0.9201  4 Pd 2.84-2.97
Er4 0.1448 0.7500 0.4201  4 Pd 2.84-2.97

## Properties
* calculated volume: 74 Å³/f.u.
* ΔH_f (0 K): -0.65 eV/atom
* E: -16.3 eV per formula unit
* energy above the most stable polymorph in this dataset: 0 meV per atom

Entry 8:
Crystalline BeZnSi2N4 at its relaxed geometry, computed with PBE-GGA.

abc: 5.1226 5.1226 5.1226
angles: 131.25 131.25 71.42
Last column: nearest neighbours and their distance in Å.
Fractional positions:
Si1 0.5000 0.5000 0.0000  4 N 1.76
Si2 0.2500 0.7500 0.5000  4 N 1.75
Be1 0.0000 0.0000 0.0000  4 N 1.80
N1 0.3446 0.3944 0.5080  2 Si 1.75-1.76, 1 Be 1.80
N2 0.1633 0.6554 0.0498  2 Si 1.75-1.76, 1 Be 1.80
N3 0.8865 0.8367 0.4920  2 Si 1.75-1.76, 1 Be 1.80
N4 0.6056 0.1135 0.9502  2 Si 1.75-1.76, 1 Be 1.80
Zn1 0.7500 0.2500 0.5000  4 N 1.99

## Properties
* calculated volume: 74 Å³/f.u.
* E: -56.8 eV per formula unit